(1)
InAg2Se | PBE-GGA | optimized geometry

Values from the calculation:
* energy relative to the elements, uncorrected: 0.3 eV per formula unit

```
data_InAg2Se
_chemical_formula_sum 'In2 Ag4 Se2'
_symmetry_space_group_name_H-M 'C m m m'
_symmetry_Int_Tables_number 65
_symmetry_space_group_name_Hall '-C 2 2'
_cell_length_a 5.984
_cell_length_b 8.737
_cell_length_c 3.164
_cell_angle_alpha 90.00
_cell_angle_beta 90.00
_cell_angle_gamma 90.00
loop_
_atom_site_label
_atom_site_fract_x
_atom_site_fract_y
_atom_site_fract_z
In1 0.000 0.000 0.000
Ag1 0.250 0.250 0.500
Se1 0.000 0.500 0.000
```



(2)
UZnSb | PBE-GGA | optimized geometry

Values from the calculation:
* energy relative to the elements, uncorrected: 0.1 eV per formula unit

```
data_UZnSb
_chemical_formula_sum 'U1 Zn1 Sb1'
_symmetry_space_group_name_H-M 'P -6 m 2'
_symmetry_Int_Tables_number 187
_symmetry_space_group_name_Hall 'P -6 2'
_cell_length_a 5.0192
_cell_length_b 5.0192
_cell_length_c 3.0787
_cell_angle_alpha 90.00
_cell_angle_beta 90.00
_cell_angle_gamma 120.00
loop_
_atom_site_label
_atom_site_fract_x
_atom_site_fract_y
_atom_site_fract_z
U1 0.0000 0.0000 0.0000
Zn1 0.3333 0.6667 0.5000
Sb1 0.6667 0.3333 0.5000
```



(3)
GaSiAu3 | PBE-GGA | optimized geometry

Values from the calculation:
* energy relative to the elements, uncorrected: 3.0 eV per formula unit
* energy above the lowest structure with this stoichiometry: 620.8 meV per atom

```
data_GaSiAu3
_chemical_formula_sum 'Ga1 Si1 Au3'
_symmetry_space_group_name_H-M 'P m -3 m'
_symmetry_Int_Tables_number 221
_symmetry_space_group_name_Hall '-P 4 2 3'
_cell_length_a 4.844
_cell_length_b 4.844
_cell_length_c 4.844
_cell_angle_alpha 90.00
_cell_angle_beta 90.00
_cell_angle_gamma 90.00
loop_
_atom_site_label
_atom_site_fract_x
_atom_site_fract_y
_atom_site_fract_z
Ga1 0.000 0.000 0.000
Si1 0.500 0.500 0.500
Au1 0.000 0.000 0.500
```



(4)
CaMg2Tl | PBE-GGA | optimized geometry

Values from the calculation:
* formation enthalpy at 0 K: -207 meV per atom
* energy above the lowest structure with this stoichiometry: 0.0 meV per atom

```
data_CaMg2Tl
_chemical_formula_sum 'Ca2 Mg4 Tl2'
_symmetry_space_group_name_H-M 'P 1 21/m 1'
_symmetry_Int_Tables_number 11
_cell_length_a 4.762
_cell_length_b 8.036
_cell_length_c 6.123
_cell_angle_alpha 90.00
_cell_angle_beta 112.71
_cell_angle_gamma 90.00
loop_
_symmetry_equiv_pos_as_xyz
'x,y,z'
'-x,-y,-z'
'-x,y+1/2,-z'
'x,-y+1/2,z'
loop_
_atom_site_label
_atom_site_fract_x
_atom_site_fract_y
_atom_site_fract_z
Ca1 0.074 0.250 0.146
Mg1 0.366 0.055 0.733
Tl1 0.215 0.750 0.431
```



(5)
Sm2Pd9Pb | PBE-GGA | optimized geometry

Values from the calculation:
* formation enthalpy at 0 K: -636 meV per atom

```
data_Sm2Pd9Pb
_chemical_formula_sum 'Sm2 Pd9 Pb1'
_symmetry_space_group_name_H-M 'P 4/m m m'
_symmetry_Int_Tables_number 123
_symmetry_space_group_name_Hall '-P 4 2'
_cell_length_a 4.163
_cell_length_b 4.163
_cell_length_c 12.398
_cell_angle_alpha 90.00
_cell_angle_beta 90.00
_cell_angle_gamma 90.00
loop_
_atom_site_label
_atom_site_fract_x
_atom_site_fract_y
_atom_site_fract_z
Sm1 0.000 0.000 0.168
Pd1 0.000 0.500 0.000
Pd2 0.000 0.500 0.338
Pd3 0.500 0.500 0.170
Pd4 0.500 0.500 0.500
Pb1 0.000 0.000 0.500
```



(6)
Li3ErPu2S6 | PBE-GGA | optimized geometry

Values from the calculation:
* energy relative to the elements, uncorrected: -19.7 eV per formula unit

```
data_Li3ErPu2S6
_chemical_formula_sum 'Li6 Er2 Pu4 S12'
_symmetry_space_group_name_H-M 'C 1 2/m 1'
_symmetry_Int_Tables_number 12
_cell_length_a 6.817
_cell_length_b 11.805
_cell_length_c 6.538
_cell_angle_alpha 90.00
_cell_angle_beta 110.33
_cell_angle_gamma 90.00
loop_
_symmetry_equiv_pos_as_xyz
'x,y,z'
'-x,-y,-z'
'-x,y,-z'
'x,-y,z'
'x+1/2,y+1/2,z'
'-x+1/2,-y+1/2,-z'
'-x+1/2,y+1/2,-z'
'x+1/2,-y+1/2,z'
loop_
_atom_site_label
_atom_site_fract_x
_atom_site_fract_y
_atom_site_fract_z
Li1 0.000 0.000 0.000
Li2 0.000 0.334 0.000
Er1 0.000 0.500 0.500
Pu1 0.000 0.167 0.500
S1 0.246 0.500 0.249
S2 0.249 0.335 0.751
```



| no. | N(E_F) (states/eV per cell) | magnetic moment (μB/f.u.) |
| --- | --- | --- |
| 1 | 3.68 | 0.00 |
| 2 | 4.06 | 3.11 |
| 3 | 1.63 | 0.00 |
| 4 | 3.48 | 0.00 |
| 5 | 4.72 | 0.00 |
| 6 | 34.05 | 10.00 |